No. 1
Na3HgAs | PBE | optimized geometry

Lattice parameters (Å, degrees): 5.5907 5.5907 5.5907 90.00 90.00 90.00
Element x y z (fractional)
Na1 0.0000 0.0000 0.5000
Na2 0.0000 0.5000 0.0000
Na3 0.5000 0.0000 0.0000
Hg1 0.5000 0.5000 0.5000
As1 0.0000 0.0000 0.0000

- Space-group type: Pm-3m
- Electronic total energy: -2.05 eV/atom

No. 2
Na2HgAs | PBE | optimized geometry

Lattice parameters (Å, degrees): 7.9495 7.9495 7.9495 31.70 31.70 31.70
Element x y z (fractional)
Na1 0.0000 0.0000 0.0000
Na2 0.2056 0.2056 0.2056
Hg1 0.4296 0.4296 0.4296
As1 0.6036 0.6036 0.6036

- Space-group type: R3m
- Electronic total energy: -1.96 eV/atom

No. 3
Na4Hg7As | PBE | optimized geometry

Lattice parameters (Å, degrees): 5.5137 6.6597 9.0809 85.38 82.12 88.62
Element x y z (fractional)
Na1 0.1317 0.3733 0.3287
Na2 0.1885 0.8951 0.1936
Na3 0.8115 0.1049 0.8064
Na4 0.8683 0.6267 0.6713
Hg1 0.2249 0.3162 0.9769
Hg2 0.3149 0.8059 0.8446
Hg3 0.3804 0.3939 0.6455
Hg4 0.5000 0.0000 0.5000
Hg5 0.6196 0.6061 0.3545
Hg6 0.6851 0.1941 0.1554
Hg7 0.7751 0.6838 0.0231
As1 0.0000 0.0000 0.5000

- Space-group type: P-1
- Electronic total energy: -1.17 eV/atom